Entry 1:
Computed, not measured: a relaxed structure of Er6C2Se3N at the PBE level of DFT.

a = 16.781 Å, b = 3.697 Å, c = 7.753 Å
α = 90.00°, β = 107.19°, γ = 90.00°
Space group C2/m (No. 12)
Asymmetric unit:
Er1 0.012 0.000 0.223
Er2 0.156 0.500 0.110
Er3 0.177 0.500 0.556
C1 0.164 0.000 0.329
Se1 0.000 0.500 0.500
Se2 0.166 0.000 0.833
N1 0.000 0.500 0.000

Values from the calculation:
* formation energy without anion corrections: -16.6 eV per formula unit
* magnetization: 0.00 Bohr magnetons per cell
* volume: 19.1 A^3/atom
* E: -6.7674 eV per atom

***

Entry 2:
Computed, not measured: a relaxed structure of SnAuN3 at the PBE level of DFT.

a = 4.179 Å, b = 4.179 Å, c = 4.179 Å
α = 90.00°, β = 90.00°, γ = 90.00°
Space group Pm-3m (No. 221)
Asymmetric unit:
Sn1 0.000 0.000 0.000
Au1 0.500 0.500 0.500
N1 0.000 0.000 0.500

Values from the calculation:
* formation energy without anion corrections: 9.8 eV per formula unit
* magnetization: 4.00 Bohr magnetons per cell
* volume: 14.6 A^3/atom
* E: -4.4925 eV per atom

***

Entry 3:
Computed, not measured: a relaxed structure of CrAgP2 at the PBE level of DFT.

a = 2.9703 Å, b = 2.9703 Å, c = 23.4779 Å
α = 90.00°, β = 90.00°, γ = 120.00°
Space group R-3m (No. 166, hexagonal axes)
Asymmetric unit:
Cr1 0.0000 0.0000 0.0000
Ag1 0.0000 0.0000 0.5000
P1 0.0000 0.0000 0.2669

Values from the calculation:
* magnetization: 0.00 Bohr magnetons per cell
* excess energy over the best structure of this formula in the dataset: 0.0000 eV/atom
* volume: 14.9 A^3/atom
* E: -5.8695 eV per atom
* E_form: -45.9 meV/atom

***

Entry 4:
Computed, not measured: a relaxed structure of Ce2Al3SiPt4 at the PBE level of DFT.

a = 4.292 Å, b = 4.292 Å, c = 10.177 Å
α = 90.00°, β = 90.00°, γ = 90.00°
Space group P-4m2 (No. 115)
Asymmetric unit:
Ce1 0.000 0.500 0.244
Al1 0.000 0.000 0.000
Al2 0.000 0.500 0.629
Si1 0.500 0.500 0.000
Pt1 0.000 0.000 0.500
Pt2 0.000 0.500 0.874
Pt3 0.500 0.500 0.500

Values from the calculation:
* formation energy without anion corrections: -10.8 eV per formula unit
* magnetization: 1.50 Bohr magnetons per cell
* volume: 18.8 A^3/atom
* E: -6.3491 eV per atom

***

Entry 5:
Computed, not measured: a relaxed structure of NdTh at the PBE level of DFT.

a = 6.253 Å, b = 3.612 Å, c = 11.975 Å
α = 90.00°, β = 90.00°, γ = 90.00°
Space group C2/m (No. 12)
Asymmetric unit:
Nd1 0.167 0.000 0.371
Th1 0.167 0.000 0.879

Values from the calculation:
* magnetization: 0.00 Bohr magnetons per cell
* excess energy over the best structure of this formula in the dataset: 0.0270 eV/atom
* volume: 33.8 A^3/atom
* E: -6.0513 eV per atom
* E_form: 42.5 meV/atom

***

Entry 6:
Computed, not measured: a relaxed structure of Y2CdHg6 at the PBE level of DFT.

a = 9.390 Å, b = 9.390 Å, c = 4.913 Å
α = 90.00°, β = 90.00°, γ = 90.00°
Space group P4_2/mnm (No. 136)
Asymmetric unit:
Y1 0.184 0.184 0.000
Cd1 0.000 0.000 0.500
Hg1 0.024 0.336 0.500
Hg2 0.150 0.850 0.000

Values from the calculation:
* magnetization: 0.00 Bohr magnetons per cell
* excess energy over the best structure of this formula in the dataset: 0.0000 eV/atom
* volume: 24.1 A^3/atom
* E: -2.0207 eV per atom
* E_form: -281.4 meV/atom

***

Entry 7:
Computed, not measured: a relaxed structure of Pm3Ho6Tm2 at the PBE level of DFT.

a = 4.731 Å, b = 4.731 Å, c = 33.095 Å
α = 90.00°, β = 90.00°, γ = 90.00°
Space group I4/mmm (No. 139)
Asymmetric unit:
Pm1 0.000 0.000 0.000
Pm2 0.000 0.000 0.202
Ho1 0.000 0.000 0.306
Ho2 0.000 0.500 0.120
Tm1 0.000 0.000 0.454

Values from the calculation:
* magnetization: 0.01 Bohr magnetons per cell
* volume: 33.7 A^3/atom
* E: -4.3247 eV per atom
* E_form: 280.9 meV/atom

***

Entry 8:
Computed, not measured: a relaxed structure of Rb5NpSe5 at the PBE level of DFT.

a = 15.697 Å, b = 6.378 Å, c = 9.301 Å
α = 90.00°, β = 109.30°, γ = 90.00°
Space group C2/m (No. 12)
Asymmetric unit:
Rb1 0.000 0.000 0.000
Rb2 0.174 0.500 0.346
Rb3 0.196 0.500 0.808
Np1 0.000 0.000 0.500
Se1 0.000 0.500 0.500
Se2 0.128 0.000 0.360
Se3 0.135 0.000 0.782

Values from the calculation:
* formation energy without anion corrections: -11.7 eV per formula unit
* magnetization: 4.00 Bohr magnetons per cell
* volume: 40.0 A^3/atom
* E: -4.2662 eV per atom

***

Entry 9:
Computed, not measured: a relaxed structure of SiAgPb2 at the PBE level of DFT.

a = 6.743 Å, b = 6.743 Å, c = 11.467 Å
α = 90.00°, β = 90.00°, γ = 90.00°
Space group I-42d (No. 122)
Asymmetric unit:
Si1 0.000 0.000 0.000
Ag1 0.000 0.000 0.500
Pb1 0.232 0.250 0.125

Values from the calculation:
* formation energy without anion corrections: 1.9 eV per formula unit
* magnetization: 0.00 Bohr magnetons per cell
* volume: 32.6 A^3/atom
* E: -3.4438 eV per atom

***

Entry 10:
Computed, not measured: a relaxed structure of La6Nd3Cd2 at the PBE level of DFT.

a = 6.344 Å, b = 11.220 Å, c = 11.432 Å
α = 90.00°, β = 103.00°, γ = 90.00°
Space group C2/m (No. 12)
Asymmetric unit:
La1 0.228 0.164 0.223
La2 0.242 0.500 0.242
Nd1 0.000 0.169 0.500
Nd2 0.000 0.500 0.500
Cd1 0.000 0.353 0.000

Values from the calculation:
* magnetization: 0.00 Bohr magnetons per cell
* volume: 36.0 A^3/atom
* E: -4.1430 eV per atom
* E_form: 11.4 meV/atom

***

Entry 11:
Computed, not measured: a relaxed structure of Sm2Al9Co3 at the PBE level of DFT.

a = 12.809 Å, b = 7.513 Å, c = 9.415 Å
α = 90.00°, β = 90.00°, γ = 90.00°
Space group Cmcm (No. 63)
Asymmetric unit:
Sm1 0.161 0.168 0.250
Al1 0.000 0.127 0.750
Al2 0.000 0.333 0.040
Al3 0.107 0.445 0.750
Al4 0.168 0.167 0.570
Co1 0.000 0.000 0.000
Co2 0.170 0.500 0.000

Values from the calculation:
* magnetization: 0.00 Bohr magnetons per cell
* excess energy over the best structure of this formula in the dataset: 0.0000 eV/atom
* volume: 16.2 A^3/atom
* E: -5.1463 eV per atom
* E_form: -543.5 meV/atom

***

Entry 12:
Computed, not measured: a relaxed structure of Au2I3Cl6 at the PBE level of DFT.

a = 7.716 Å, b = 10.541 Å, c = 11.062 Å
α = 92.85°, β = 103.19°, γ = 109.28°
Space group P-1 (No. 2)
Asymmetric unit:
Au1 0.180 0.370 0.481
Au2 0.184 0.832 0.015
I1 0.125 0.282 0.697
I2 0.149 0.345 0.205
I3 0.496 0.991 0.235
Cl1 0.041 0.154 0.362
Cl2 0.054 0.144 0.897
Cl3 0.267 0.525 0.089
Cl4 0.322 0.588 0.577
Cl5 0.409 0.806 0.913
Cl6 0.421 0.828 0.375

Values from the calculation:
* formation energy without anion corrections: -1.6 eV per formula unit
* magnetization: 0.90 Bohr magnetons per cell
* volume: 37.2 A^3/atom
* E: -2.1698 eV per atom

***

Entry 13:
Computed, not measured: a relaxed structure of ScV2Re at the PBE level of DFT.

a = 7.095 Å, b = 7.095 Å, c = 5.472 Å
α = 90.00°, β = 90.00°, γ = 90.00°
Space group I-42d (No. 122)
Asymmetric unit:
Sc1 0.000 0.000 0.000
V1 0.210 0.750 0.625
Re1 0.000 0.000 0.500

Values from the calculation:
* magnetization: 0.00 Bohr magnetons per cell
* excess energy over the best structure of this formula in the dataset: 0.4818 eV/atom
* volume: 17.2 A^3/atom
* E: -8.7733 eV per atom
* E_form: 480.9 meV/atom

***

Entry 14:
Computed, not measured: a relaxed structure of SrHgPS2 at the PBE level of DFT.

a = 5.743 Å, b = 5.743 Å, c = 6.323 Å
α = 90.00°, β = 90.00°, γ = 90.00°
Space group P4/mmm (No. 123)
Asymmetric unit:
Sr1 0.000 0.000 0.000
Hg1 0.500 0.500 0.500
P1 0.000 0.000 0.500
S1 0.000 0.500 0.000

Values from the calculation:
* formation energy without anion corrections: 2.7 eV per formula unit
* magnetization: 4.97 Bohr magnetons per cell
* excess energy over the best structure of this formula in the dataset: 0.5970 eV/atom
* volume: 41.7 A^3/atom
* E: -2.5800 eV per atom

***

Entry 15:
Computed, not measured: a relaxed structure of Cs2ZrCd at the PBE level of DFT.

a = 13.806 Å, b = 13.806 Å, c = 5.744 Å
α = 90.00°, β = 90.00°, γ = 90.00°
Space group I-42d (No. 122)
Asymmetric unit:
Cs1 0.098 0.750 0.125
Zr1 0.000 0.000 0.500
Cd1 0.000 0.000 0.000

Values from the calculation:
* magnetization: 10.91 Bohr magnetons per cell
* excess energy over the best structure of this formula in the dataset: 0.0000 eV/atom
* volume: 68.4 A^3/atom
* E: -1.9028 eV per atom
* E_form: 889.8 meV/atom

***

Entry 16:
Computed, not measured: a relaxed structure of K3Er3NpS8 at the PBE level of DFT.

a = 7.9976 Å, b = 7.9976 Å, c = 22.4216 Å
α = 90.00°, β = 90.00°, γ = 120.00°
Space group R-3m (No. 166, hexagonal axes)
Asymmetric unit:
K1 0.0000 0.5000 0.0000
Er1 0.0000 0.5000 0.5000
Np1 0.0000 0.0000 0.5000
S1 0.0000 0.0000 0.2328
S2 0.0030 0.5015 0.2316

Values from the calculation:
* formation energy without anion corrections: -26.5 eV per formula unit
* magnetization: 9.00 Bohr magnetons per cell
* volume: 27.6 A^3/atom
* E: -5.9640 eV per atom

***

Entry 17:
Computed, not measured: a relaxed structure of Tb3SiBr3 at the PBE level of DFT.

a = 11.656 Å, b = 11.656 Å, c = 11.656 Å
α = 90.00°, β = 90.00°, γ = 90.00°
Space group I4_132 (No. 214)
Asymmetric unit:
Tb1 0.113 0.363 0.125
Si1 0.125 0.125 0.125
Br1 0.120 0.130 0.625

Values from the calculation:
* formation energy without anion corrections: -9.7 eV per formula unit
* magnetization: 0.00 Bohr magnetons per cell
* volume: 28.3 A^3/atom
* E: -4.8619 eV per atom

***

Entry 18:
Computed, not measured: a relaxed structure of BaZn2SnIr at the PBE level of DFT.

a = 4.989 Å, b = 4.989 Å, c = 5.104 Å
α = 90.00°, β = 90.00°, γ = 90.00°
Space group P4/mmm (No. 123)
Asymmetric unit:
Ba1 0.000 0.000 0.000
Zn1 0.000 0.500 0.500
Sn1 0.500 0.500 0.000
Ir1 0.500 0.500 0.500

Values from the calculation:
* magnetization: 0.00 Bohr magnetons per cell
* excess energy over the best structure of this formula in the dataset: 0.0000 eV/atom
* volume: 25.4 A^3/atom
* E: -3.8055 eV per atom
* E_form: -338.6 meV/atom

***

Entry 19:
Computed, not measured: a relaxed structure of Cs2K5Br3O2 at the PBE level of DFT.

a = 5.328 Å, b = 5.328 Å, c = 28.804 Å
α = 90.00°, β = 90.00°, γ = 90.00°
Space group I4/mmm (No. 139)
Asymmetric unit:
Cs1 0.000 0.000 0.189
K1 0.000 0.000 0.000
K2 0.000 0.500 0.091
Br1 0.000 0.000 0.327
Br2 0.000 0.000 0.500
O1 0.000 0.000 0.092

Values from the calculation:
* formation energy without anion corrections: -17.0 eV per formula unit
* magnetization: 0.12 Bohr magnetons per cell
* volume: 34.1 A^3/atom
* E: -3.2635 eV per atom

***

Entry 20:
Computed, not measured: a relaxed structure of NaAl11Fe at the PBE level of DFT.

a = 5.174 Å, b = 12.906 Å, c = 6.985 Å
α = 90.00°, β = 110.19°, γ = 90.00°
Space group C2/m (No. 12)
Asymmetric unit:
Na1 0.000 0.000 0.000
Al1 0.000 0.000 0.500
Al2 0.098 0.395 0.224
Al3 0.190 0.170 0.362
Al4 0.250 0.250 0.000
Fe1 0.000 0.500 0.500

Values from the calculation:
* magnetization: 0.00 Bohr magnetons per cell
* volume: 16.8 A^3/atom
* E: -3.9515 eV per atom
* E_form: -32.2 meV/atom